No. 1
Compound: AcPm2Er
Source: the Alexandria database
Functional: PBE
Structure: relaxed

The calculation puts the spin magnetization at 0.000 μB/atom. Its density of states at the Fermi level is 5.5 states/eV/f.u. The calculation puts the uncorrected energy at -4.49 eV per atom. The formation energy comes out at 0.05 eV per atom. As for the crystal system: trigonal. The value obtained for the polymorph energy (0 for the lowest one) is 12.6 meV/atom.

It has space group R3m (No. 160, hexagonal axes), with a = 3.7185 Å, b = 3.7185 Å, c = 36.0197 Å, α = 90.00°, β = 90.00° and γ = 120.00°. The inequivalent atoms are Ac at (0.0000, 0.0000, 0.0000), Pm at (0.0000, 0.0000, 0.2457), Pm at (0.0000, 0.0000, 0.4210) and Er at (0.0000, 0.0000, 0.8335).



No. 2
Compound: AcPmEr6
Source: the Alexandria database
Functional: PBE
Structure: relaxed

The calculation puts the spin magnetization at 0.004 μB/atom. Its density of states at the Fermi level is 15.8 states/eV/f.u. The calculation puts the uncorrected energy at -4.11 eV per atom. The formation energy comes out at 0.42 eV per atom. As for the crystal system: monoclinic.

It has space group C2/m (No. 12), with a = 9.722 Å, b = 6.937 Å, c = 8.853 Å, α = 90.00°, β = 102.69° and γ = 90.00°. The inequivalent atoms are Ac at (0.000, 0.000, 0.000), Pm at (0.000, 0.500, 0.500), Er at (0.123, 0.500, 0.919) and Er at (0.216, 0.261, 0.299).